VASP calculation (GGA-PBEsol) on crystalline ZrAs2Au at its relaxed geometry.

Cell lengths 3.865, 3.865, 9.633 Å; angles 90.00, 90.00, 90.00 degrees
Fractional positions:
Zr  0.000  0.000  0.000
Zr  0.500  0.500  0.500
As  0.000  0.000  0.500
As  0.000  0.500  0.250
As  0.500  0.000  0.750
As  0.500  0.500  0.000
Au  0.000  0.500  0.750
Au  0.500  0.000  0.250

Total magnetization = 0.000 μB per atom
E_form = -0.4855 eV/atom
SG = I-4m2, No. 119